1.
Pa2Ga8Os | PBE | relaxed

a b c (Å): 4.350 4.350 11.084
angles (deg): 90.00 90.00 90.00
Fractional coordinates of all 11 atoms:
Pa: 0.000 0.000 0.195
Pa: 0.000 0.000 0.805
Ga: 0.000 0.500 0.000
Ga: 0.000 0.500 0.379
Ga: 0.000 0.500 0.621
Ga: 0.500 0.000 0.000
Ga: 0.500 0.000 0.379
Ga: 0.500 0.000 0.621
Ga: 0.500 0.500 0.192
Ga: 0.500 0.500 0.808
Os: 0.000 0.000 0.500

electronic total energy: -5.321 eV per atom


2.
GaOsPb2 | PBE | relaxed

a b c (Å): 4.975 4.975 4.975
angles (deg): 60.00 60.00 60.00
Fractional coordinates of all 4 atoms:
Ga: 0.000 0.000 0.000
Os: 0.250 0.250 0.250
Pb: 0.500 0.500 0.500
Pb: 0.750 0.750 0.750

electronic total energy: -4.603 eV per atom


3.
Ga2Os8Pd | PBE | relaxed

a b c (Å): 6.242 6.242 5.607
angles (deg): 98.55 98.55 68.59
Fractional coordinates of all 11 atoms:
Ga: 0.230 0.230 0.307
Ga: 0.770 0.770 0.693
Os: 0.178 0.556 0.021
Os: 0.192 0.192 0.737
Os: 0.444 0.822 0.979
Os: 0.456 0.456 0.684
Os: 0.544 0.544 0.316
Os: 0.556 0.178 0.021
Os: 0.808 0.808 0.263
Os: 0.822 0.444 0.979
Pd: 0.000 0.000 0.000

electronic total energy: -8.445 eV per atom


4.
Pm2Ga3Os | PBE | relaxed

a b c (Å): 5.582 5.582 8.763
angles (deg): 90.00 90.00 120.00
Fractional coordinates of all 12 atoms:
Pm: 0.333 0.667 0.049
Pm: 0.333 0.667 0.451
Pm: 0.667 0.333 0.549
Pm: 0.667 0.333 0.951
Ga: 0.162 0.324 0.750
Ga: 0.162 0.838 0.750
Ga: 0.324 0.162 0.250
Ga: 0.676 0.838 0.750
Ga: 0.838 0.162 0.250
Ga: 0.838 0.676 0.250
Os: 0.000 0.000 0.000
Os: 0.000 0.000 0.500

electronic total energy: -5.507 eV per atom


Please write out number 4 again, unchanged.
Pm2Ga3Os | PBE | relaxed

a b c (Å): 5.582 5.582 8.763
angles (deg): 90.00 90.00 120.00
Fractional coordinates of all 12 atoms:
Pm: 0.333 0.667 0.049
Pm: 0.333 0.667 0.451
Pm: 0.667 0.333 0.549
Pm: 0.667 0.333 0.951
Ga: 0.162 0.324 0.750
Ga: 0.162 0.838 0.750
Ga: 0.324 0.162 0.250
Ga: 0.676 0.838 0.750
Ga: 0.838 0.162 0.250
Ga: 0.838 0.676 0.250
Os: 0.000 0.000 0.000
Os: 0.000 0.000 0.500

electronic total energy: -5.507 eV per atom